ErInCuRh | PBE-GGA | optimized geometry

```
ErInCuRh
1.0
-1.3138 3.7723 2.4759
-2.0597 -0.5397 4.1896
2.3142 1.1587 3.9228
Rh In Er Cu
1 1 1 1
direct
0.0000 0.0000 0.0000
0.7500 0.7500 0.7500
0.2500 0.2500 0.2500
0.5000 0.5000 0.5000
```

Properties
mass density	10.15	g cm⁻³
DOS(E_F)	2.97	states/eV per cell
total energy	-5.173	eV/atom
V	73	Å³ per cell
spin magnetization	0.0	μB per cell



Er2InCu2Rh5 | PBE-GGA | optimized geometry

```
Er2InCu2Rh5
1.0
3.8656 0.0000 0.0000
0.0000 9.3072 0.0000
0.0000 0.0000 9.3072
Er In Rh Cu
4 2 10 4
direct
0.0000 0.3256 0.8256
0.0000 0.1744 0.3256
0.0000 0.8256 0.6744
0.0000 0.6744 0.1744
0.0000 0.5000 0.5000
0.0000 0.0000 0.0000
0.5000 0.9283 0.2085
0.5000 0.0000 0.5000
0.5000 0.4283 0.2915
0.5000 0.2085 0.0717
0.5000 0.2915 0.5717
0.5000 0.0717 0.7915
0.5000 0.5000 0.0000
0.5000 0.5717 0.7085
0.5000 0.7915 0.9283
0.5000 0.7085 0.4283
0.0000 0.8785 0.3785
0.0000 0.1215 0.6215
0.0000 0.3785 0.1215
0.0000 0.6215 0.8785
```

Properties
mass density	10.82	g cm⁻³
DOS(E_F)	20.96	states/eV per cell
total energy	-6.181	eV/atom
V	335	Å³ per cell
spin magnetization	0.0	μB per cell



Er2InCuS4 | PBE-GGA | optimized geometry

```
Er2InCuS4
1.0
-1.9380 -3.3436 -0.6278
6.7921 -1.4727 -0.9144
1.1070 -3.1332 13.2693
S Er Cu In
8 4 2 2
direct
0.7374 0.4749 0.8908
0.4309 0.8618 0.7500
0.7374 0.4749 0.6092
0.0000 0.0000 0.0000
0.0000 0.0000 0.5000
0.2626 0.5251 0.3908
0.5691 0.1382 0.2500
0.2626 0.5251 0.1092
0.3662 0.7324 0.5631
0.6338 0.2676 0.4369
0.6338 0.2676 0.0631
0.3662 0.7324 0.9369
0.8341 0.6683 0.7500
0.1659 0.3317 0.2500
0.1075 0.2149 0.7500
0.8925 0.7851 0.2500
```

Properties
formation energy without anion corrections	-1.4040	eV/atom
mass density	5.91	g cm⁻³
V	360	Å³ per cell
spin magnetization	0.0	μB per cell



ErIn4CuS8 | PBE-GGA | optimized geometry

```
ErIn4CuS8
1.0
-1.7409 0.4685 -7.5089
-6.4280 -3.3299 -2.6884
-5.8994 4.3178 -2.3337
In S Cu Er
4 8 1 1
direct
0.4811 0.0057 0.5075
0.6229 0.6229 0.1313
0.0057 0.0057 0.5075
0.0057 0.4811 0.5075
0.2526 0.7506 0.7441
0.2247 0.7569 0.2616
0.7591 0.7591 0.7227
0.7506 0.2526 0.7441
0.7569 0.2247 0.2616
0.2476 0.2476 0.2572
0.2526 0.2526 0.7441
0.7569 0.7569 0.2616
0.3751 0.3751 0.8747
0.0084 0.0084 0.9748
```

Properties
formation energy without anion corrections	-0.7761	eV/atom
mass density	4.87	g cm⁻³
DOS(E_F)	5.31	states/eV per cell
V	323	Å³ per cell
spin magnetization	0.0	μB per cell



SmErInCu | PBE-GGA | optimized geometry

```
SmErInCu
1.0
5.1948 0.0000 0.0000
2.5974 4.4988 0.0000
2.5974 1.4996 4.2415
Er In Cu Sm
1 1 1 1
direct
0.0000 0.0000 0.0000
0.2500 0.2500 0.2500
0.7500 0.7500 0.7500
0.5000 0.5000 0.5000
```

Properties
mass density	8.31	g cm⁻³
DOS(E_F)	3.68	states/eV per cell
total energy	-4.322	eV/atom
V	99	Å³ per cell
spin magnetization	0.0	μB per cell



TbErInCu | PBE-GGA | optimized geometry

```
TbErInCu
1.0
5.1504 0.0000 0.0000
2.5752 4.4604 0.0000
2.5752 1.4868 4.2053
Cu Tb Er In
1 1 1 1
direct
0.2500 0.2500 0.2500
0.0000 0.0000 0.0000
0.5000 0.5000 0.5000
0.7500 0.7500 0.7500
```

Properties
mass density	8.67	g cm⁻³
DOS(E_F)	3.36	states/eV per cell
total energy	-4.317	eV/atom
V	97	Å³ per cell
spin magnetization	0.0	μB per cell